No. 1
Material: TaRh2Au
Method: DFT, GGA-PBE
State: relaxed

POSCAR file:
```
TaRh2Au
1.0
3.268 0.000 0.000
0.000 3.288 0.000
0.000 0.000 6.022
Au Rh Ta
1 2 1
Direct
0.500 0.500 0.750
0.000 0.000 0.481
0.000 0.000 0.019
0.500 0.500 0.250
```

Results
The density of states at the Fermi level is 0.37 states/eV per atom. The value obtained for the calculated formation energy is -0.381 eV per atom. The symmetry is No. 47.

No. 2
Material: Ac2Zn3Sn2
Method: DFT, GGA-PBE
State: relaxed

POSCAR file:
```
Ac2Zn3Sn2
1.0
-1.551 4.144 1.189
-4.051 -1.179 -1.176
0.186 -2.931 10.453
Zn Sn Ac
3 2 2
Direct
0.000 0.000 0.000
0.500 0.560 0.119
0.500 0.440 0.881
0.500 0.296 0.592
0.500 0.704 0.408
0.000 0.845 0.691
0.000 0.155 0.309
```

Results
The density of states at the Fermi level is 0.60 states/eV per atom. The value obtained for the calculated formation energy is -0.160 eV per atom. The symmetry is No. 65.

No. 3
Material: RbDyGeI6
Method: DFT, GGA-PBE
State: relaxed

POSCAR file:
```
RbDyGeI6
1.0
-2.297 -6.790 3.215
3.799 -2.872 6.248
-5.090 4.075 4.969
I Rb Ge Dy
6 1 1 1
Direct
0.372 0.999 0.713
0.372 0.629 0.287
0.629 0.999 0.287
0.999 0.629 0.713
0.629 0.372 0.713
0.999 0.372 0.287
0.000 0.000 0.000
0.667 0.667 0.500
0.333 0.333 0.500
```

Results
The density of states at the Fermi level is 0.00 states/eV per atom. The calculation puts the uncorrected formation energy at -1.07 eV/atom. The symmetry is No. 149.